# 1
Density functional theory data (PBE) for an optimized crystal structure of Mg5In2Cu2Rh.

Unit cell a=10.908 b=10.908 c=3.226 alpha=90.00 beta=90.00 gamma=90.00
Atoms (fractional coordinates):
Mg: 0.000 0.500 0.000
Mg: 0.049 0.191 0.000
Mg: 0.191 0.951 0.000
Mg: 0.309 0.451 0.000
Mg: 0.451 0.691 0.000
Mg: 0.500 0.000 0.000
Mg: 0.549 0.309 0.000
Mg: 0.691 0.549 0.000
Mg: 0.809 0.049 0.000
Mg: 0.951 0.809 0.000
In: 0.181 0.681 0.500
In: 0.319 0.181 0.500
In: 0.681 0.819 0.500
In: 0.819 0.319 0.500
Cu: 0.137 0.363 0.500
Cu: 0.363 0.863 0.500
Cu: 0.637 0.137 0.500
Cu: 0.863 0.637 0.500
Rh: 0.000 0.000 0.500
Rh: 0.500 0.500 0.500

Results
- Electronic total energy: -3.07 eV/atom
- SG: P4/mbm

---

# 2
Density functional theory data (PBE) for an optimized crystal structure of Mg5In2CuRh2.

Unit cell a=9.622 b=9.622 c=4.091 alpha=90.00 beta=90.00 gamma=90.00
Atoms (fractional coordinates):
Mg: 0.000 0.500 0.000
Mg: 0.077 0.201 0.000
Mg: 0.201 0.923 0.000
Mg: 0.299 0.423 0.000
Mg: 0.423 0.701 0.000
Mg: 0.500 0.000 0.000
Mg: 0.577 0.299 0.000
Mg: 0.701 0.577 0.000
Mg: 0.799 0.077 0.000
Mg: 0.923 0.799 0.000
In: 0.172 0.672 0.500
In: 0.328 0.172 0.500
In: 0.672 0.828 0.500
In: 0.828 0.328 0.500
Cu: 0.000 0.000 0.500
Cu: 0.500 0.500 0.500
Rh: 0.122 0.378 0.500
Rh: 0.378 0.878 0.500
Rh: 0.622 0.122 0.500
Rh: 0.878 0.622 0.500

Results
- Electronic total energy: -3.47 eV/atom
- SG: P4/mbm

---

# 3
Density functional theory data (PBE) for an optimized crystal structure of MgInCuRu.

Unit cell a=4.503 b=4.503 c=4.503 alpha=60.00 beta=60.00 gamma=60.00
Atoms (fractional coordinates):
Mg: 0.000 0.000 0.000
In: 0.500 0.500 0.500
Cu: 0.750 0.750 0.750
Ru: 0.250 0.250 0.250

Results
- Electronic total energy: -4.43 eV/atom
- SG: F-43m

---

# 4
Density functional theory data (PBE) for an optimized crystal structure of MgIn4CuS8.

Unit cell a=7.566 b=7.566 c=7.566 alpha=60.52 beta=60.52 gamma=60.52
Atoms (fractional coordinates):
Mg: 0.000 0.000 0.000
In: 0.482 0.998 0.998
In: 0.614 0.614 0.614
In: 0.998 0.482 0.998
In: 0.998 0.998 0.482
Cu: 0.375 0.375 0.375
S: 0.214 0.758 0.758
S: 0.241 0.241 0.752
S: 0.241 0.752 0.241
S: 0.245 0.245 0.245
S: 0.751 0.751 0.751
S: 0.752 0.241 0.241
S: 0.758 0.214 0.758
S: 0.758 0.758 0.214

Results
- SG: R3m
- Formation energy (no corrections): -0.593 eV per atom

---

no.,density (g/cm3)
1,5.03
2,5.44
3,7.81
4,4.31